No. 1
A relaxed Tc3NiC crystal, computed with PBE.

The structure in POSCAR format:
```
Tc3NiC
1.0
-3.188 -1.332 -2.038
2.409 -2.212 -2.323
-0.353 -3.070 2.558
Ni C Tc
1 1 3
direct
0.500 0.500 0.500
0.000 0.000 0.000
0.000 0.500 0.000
0.000 0.000 0.500
0.500 0.000 0.000
```

Space-group type: No. 221
Magnetic moment, Bohr magnetons per cell: 0.00
Energy above the most stable polymorph in this dataset, meV per atom: 183
ΔH_f (0 K), eV per atom: 0.27

---

No. 2
A relaxed CaTaCoN3 crystal, computed with PBE.

The structure in POSCAR format:
```
CaTaCoN3
1.0
3.149 0.000 0.000
0.000 6.698 0.329
0.000 -2.244 7.034
Ca Ta Co N
2 2 2 6
direct
0.750 0.806 0.785
0.250 0.194 0.215
0.250 0.670 0.149
0.750 0.330 0.851
0.250 0.093 0.598
0.750 0.907 0.402
0.250 0.798 0.479
0.750 0.872 0.133
0.750 0.442 0.143
0.750 0.202 0.521
0.250 0.558 0.857
0.250 0.128 0.867
```

Space-group type: No. 11
Magnetic moment, Bohr magnetons per cell: 0.00
Raw formation energy, eV per atom: -0.741